First-principles (GGA-PBE) data for an optimized crystal structure of BaNd4Hg5, as listed in the Alexandria database.

Unit cell a=3.893 b=3.893 c=19.642 alpha=90.00 beta=90.00 gamma=90.00
Space group P4/mmm (No. 123)
Inequivalent atoms, fractional coordinates:
Ba (0.000, 0.000, 0.000) (multiplicity 1)
Nd (0.000, 0.000, 0.212) (multiplicity 2)
Nd (0.000, 0.000, 0.405) (multiplicity 2)
Hg (0.500, 0.500, 0.120) (multiplicity 2)
Hg (0.500, 0.500, 0.308) (multiplicity 2)
Hg (0.500, 0.500, 0.500) (multiplicity 1)

Properties
final energy = -27.24 eV/cell
energy of formation from the pure elements = -0.4733 eV per atom

First-principles (GGA-PBE) data for an optimized crystal structure of CaPrDyHo, as listed in the Alexandria database.

Unit cell a=8.200 b=8.200 c=8.200 alpha=90.00 beta=90.00 gamma=90.00
Space group F-43m (No. 216)
Inequivalent atoms, fractional coordinates:
Ca (0.000, 0.000, 0.000) (multiplicity 4)
Pr (0.250, 0.250, 0.750) (multiplicity 4)
Dy (0.250, 0.250, 0.250) (multiplicity 4)
Ho (0.000, 0.000, 0.500) (multiplicity 4)

Properties
final energy = -61.68 eV/cell
energy of formation from the pure elements = 0.1355 eV per atom

First-principles (GGA-PBE) data for an optimized crystal structure of LaCdAg, as listed in the Alexandria database.

Unit cell a=3.807 b=3.807 c=10.724 alpha=90.00 beta=90.00 gamma=90.00
Space group I4mm (No. 107)
Inequivalent atoms, fractional coordinates:
La (0.000, 0.000, 0.000) (multiplicity 2)
Cd (0.000, 0.000, 0.312) (multiplicity 2)
Ag (0.000, 0.000, 0.684) (multiplicity 2)

Properties
final energy = -18.77 eV/cell
energy of formation from the pure elements = -0.2310 eV per atom